No. 1
Here is Er2AlZn6 after structural relaxation from the Alexandria database. Energies are from PBE.

Cell: 9.9393 5.5442 5.8817 Å, 90.00 91.59 90.00°
Closest atoms and distances in Å follow each position.
Space group C2/m (No. 12)
Asymmetric unit:
Er 0.1666 0.0000 0.1379 (multiplicity 4)  10 Zn 3.03-3.35, 2 Al 3.32
Al 0.0000 0.5000 0.0000 (multiplicity 2)  6 Zn 2.62-2.68
Zn 0.0864 0.2352 0.6653 (multiplicity 8)  4 Zn 2.56-2.65, 1 Al 2.62
Zn 0.1817 0.5000 0.3454 (multiplicity 4)  4 Zn 2.59-2.65, 1 Al 2.68

Results
As for the formation enthalpy at 0 K: -0.310 eV/atom. As for the density of states at the Fermi level: 12.461 states/eV per cell.

No. 2
Here is LaTeAs2 after structural relaxation from the Alexandria database. Energies are from PBE.

Cell: 4.7080 4.7080 4.4402 Å, 90.00 90.00 90.00°
Closest atoms and distances in Å follow each position.
Space group P4/mmm (No. 123)
Asymmetric unit:
La 0.0000 0.0000 0.0000 (multiplicity 1)  8 As 3.24, 4 Te 3.33
Te 0.5000 0.5000 0.0000 (multiplicity 1)  8 As 3.24, 4 La 3.33
As 0.0000 0.5000 0.5000 (multiplicity 2)  4 Te 3.24, 4 La 3.24, 4 As 3.33

Results
The uncorrected formation energy comes out at -658 meV per atom. As for the density of states at the Fermi level: 1.296 states/eV per cell.

No. 3
Here is Tb2Sm6Mg after structural relaxation from the Alexandria database. Energies are from PBE.

Cell: 10.6812 10.6812 5.0964 Å, 90.00 90.00 90.00°
Closest atoms and distances in Å follow each position.
Space group P4_2/mnm (No. 136)
Asymmetric unit:
Tb 0.1675 0.1675 0.0000 (multiplicity 4)  10 Sm 3.54-3.60, 2 Mg 3.59
Sm 0.0008 0.3326 0.5000 (multiplicity 8)  1 Mg 3.55, 3 Tb 3.56-3.57, 8 Sm 3.58-3.59
Sm 0.1641 0.8359 0.0000 (multiplicity 4)  4 Tb 3.54-3.60, 2 Mg 3.55, 6 Sm 3.58
Mg 0.0000 0.0000 0.5000 (multiplicity 2)  8 Sm 3.55, 4 Tb 3.59

Results
As for the formation enthalpy at 0 K: 0.020 eV/atom. The calculation puts the distance to the lowest polymorph of the same formula at 0.0 meV per atom. As for the density of states at the Fermi level: 25.784 states/eV per cell.

No. 4
Here is ErNp2PaS4 after structural relaxation from the Alexandria database. Energies are from PBE.

Cell: 6.6690 3.8932 6.7770 Å, 90.00 109.58 90.00°
Closest atoms and distances in Å follow each position.
Space group P2/m (No. 10)
Asymmetric unit:
Er 0.0000 0.0000 0.0000 (multiplicity 1)  6 S 2.73
Np 0.5000 0.0000 0.5000 (multiplicity 1)  6 S 2.76
Np 0.5000 0.5000 0.0000 (multiplicity 1)  6 S 2.73-2.74
Pa 0.0000 0.5000 0.5000 (multiplicity 1)  6 S 2.76-2.77
S 0.2485 0.5000 0.2466 (multiplicity 2)  2 Er 2.73, 3 Np 2.74-2.76, 1 Pa 2.76
S 0.2522 0.0000 0.7545 (multiplicity 2)  3 Np 2.73-2.76, 1 Er 2.73, 2 Pa 2.77

Results
The uncorrected formation energy comes out at -1596 meV per atom. As for the density of states at the Fermi level: 13.148 states/eV per cell.